(1)
Material: Zr2CrRu2
Method: DFT, PBE-GGA
State: optimized geometry

Cell lengths 6.3143, 6.3143, 4.4011 Å; angles 90.00, 90.00, 90.00 degrees
Atoms (fractional coordinates):
Ru (0.3539, 0.8539, 0.0000)
Ru (0.8539, 0.6461, 0.0000)
Ru (0.6461, 0.1461, 0.0000)
Ru (0.1461, 0.3539, 0.0000)
Zr (0.1783, 0.6783, 0.5000)
Zr (0.6783, 0.8217, 0.5000)
Zr (0.8217, 0.3217, 0.5000)
Zr (0.3217, 0.1783, 0.5000)
Cr (0.0000, 0.0000, 0.0000)
Cr (0.5000, 0.5000, 0.0000)

Values from the calculation:
* space-group type: P4/mbm (127)
* formation energy: -0.14 eV/atom


(2)
Material: CaY2Ho3Se6
Method: DFT, PBE-GGA
State: optimized geometry

Cell lengths 4.0742, 8.2061, 9.1365 Å; angles 103.06, 102.88, 90.00 degrees
Atoms (fractional coordinates):
Ca (0.5000, 0.0000, 0.0000)
Y (0.8292, 0.6587, 0.6585)
Y (0.1708, 0.3413, 0.3415)
Ho (0.5000, 0.5000, 0.0000)
Ho (0.8324, 0.1725, 0.6648)
Ho (0.1676, 0.8275, 0.3352)
Se (0.3329, 0.9195, 0.6658)
Se (0.6639, 0.5843, 0.3278)
Se (0.6671, 0.0805, 0.3342)
Se (0.0006, 0.2526, 0.0012)
Se (0.9994, 0.7474, 0.9988)
Se (0.3361, 0.4157, 0.6722)

Values from the calculation:
* formation energy without anion corrections: -1785 meV/atom
* space-group type: C2/m (12)


(3)
Material: Ho3Cd2In4
Method: DFT, PBE-GGA
State: optimized geometry

Cell lengths 4.9424, 6.0751, 9.2829 Å; angles 115.68, 90.00, 114.00 degrees
Atoms (fractional coordinates):
Ho (0.6657, 0.3314, 0.6660)
Ho (0.0000, 0.0000, 0.0000)
Ho (0.3343, 0.6686, 0.3340)
Cd (0.6121, 0.2242, 0.2801)
Cd (0.3879, 0.7758, 0.7199)
In (0.7243, 0.4486, 0.0620)
In (0.2757, 0.5514, 0.9380)
In (0.9457, 0.8915, 0.6148)
In (0.0543, 0.1085, 0.3852)

Values from the calculation:
* space-group type: C2/m (12)
* formation energy: -0.38 eV/atom


(4)
Material: Sc3AuO
Method: DFT, PBE-GGA
State: optimized geometry

Cell lengths 4.4524, 6.1585, 6.1585 Å; angles 90.00, 90.00, 90.00 degrees
Atoms (fractional coordinates):
Sc (0.5864, 0.2987, 0.0609)
Sc (0.5864, 0.8733, 0.4862)
Sc (0.5864, 0.7987, 0.9863)
Sc (0.0864, 0.0860, 0.7735)
Sc (0.5864, 0.3733, 0.5609)
Sc (0.0864, 0.5860, 0.2735)
Au (0.0864, 0.5860, 0.7736)
Au (0.0864, 0.0860, 0.2736)
O (0.5864, 0.0860, 0.7735)
O (0.5864, 0.5860, 0.2735)

Values from the calculation:
* formation energy without anion corrections: -1609 meV/atom
* space-group type: P4/mbm (127)


(5)
Material: Pu4PdPt
Method: DFT, PBE-GGA
State: optimized geometry

Cell lengths 5.6086, 7.2297, 7.2297 Å; angles 90.00, 90.00, 90.00 degrees
Last column: magnetic moment on the atom in μB.
Atoms (fractional coordinates):
Pu (0.0000, 0.1631, 0.6608)  5.58
Pu (0.0000, 0.8369, 0.3392)  5.58
Pu (0.0000, 0.3392, 0.1631)  5.58
Pu (0.0000, 0.6608, 0.8369)  5.58
Pu (0.5000, 0.8369, 0.6608)  5.58
Pu (0.5000, 0.1631, 0.3392)  5.58
Pu (0.5000, 0.6608, 0.1631)  5.58
Pu (0.5000, 0.3392, 0.8369)  5.58
Pd (0.2500, 0.0000, 0.0000)  0.01
Pd (0.7500, 0.0000, 0.0000)  0.01
Pt (0.2500, 0.5000, 0.5000)  -0.03
Pt (0.7500, 0.5000, 0.5000)  -0.03

Values from the calculation:
* space-group type: P4/mcc (124)
* formation energy: -0.32 eV/atom


(6)
Material: AcLa2Pd9
Method: DFT, PBE-GGA
State: optimized geometry

Cell lengths 5.4952, 5.4952, 9.6610 Å; angles 73.48, 73.48, 60.00 degrees
Atoms (fractional coordinates):
Ac (0.0000, 0.0000, 0.0000)
La (0.8614, 0.8614, 0.4159)
La (0.1386, 0.1386, 0.5841)
Pd (0.6670, 0.6670, 0.9989)
Pd (0.3330, 0.3330, 0.0011)
Pd (0.5000, 0.5000, 0.5000)
Pd (0.4141, 0.4141, 0.2541)
Pd (0.9177, 0.4141, 0.2541)
Pd (0.4141, 0.9177, 0.2541)
Pd (0.5859, 0.5859, 0.7459)
Pd (0.5859, 0.0823, 0.7459)
Pd (0.0823, 0.5859, 0.7459)

Values from the calculation:
* space-group type: R-3m (166)
* formation energy: -0.74 eV/atom


(7)
Material: Y2ScPdO
Method: DFT, PBE-GGA
State: optimized geometry

Cell lengths 5.6474, 3.9264, 5.6474 Å; angles 90.00, 90.00, 90.00 degrees
Last column: magnetic moment on the atom in μB.
Atoms (fractional coordinates):
Y (0.0000, 0.0000, 0.5000)  0.11
Y (0.5000, 0.0000, 0.0000)  0.13
Sc (0.5000, 0.5000, 0.5000)  0.25
O (0.0000, 0.5000, 0.0000)  -0.02
Pd (0.0000, 0.0000, 0.0000)  -0.01

Values from the calculation:
* formation energy without anion corrections: -42 meV/atom
* space-group type: P4/mmm (123)


(8)
Material: Er3Cd4Pd4
Method: DFT, PBE-GGA
State: optimized geometry

Cell lengths 3.6539, 8.0604, 9.1675 Å; angles 116.08, 101.50, 90.00 degrees
Atoms (fractional coordinates):
Er (0.1076, 0.1076, 0.2152)
Er (0.8924, 0.8924, 0.7848)
Er (0.0000, 0.5000, 0.0000)
Cd (0.3356, 0.1501, 0.6713)
Cd (0.6644, 0.4788, 0.3287)
Cd (0.6644, 0.8499, 0.3287)
Cd (0.3356, 0.5212, 0.6713)
Pd (0.2561, 0.7561, 0.5121)
Pd (0.7439, 0.2439, 0.4879)
Pd (0.5000, 0.8018, 0.0000)
Pd (0.5000, 0.1982, 0.0000)

Values from the calculation:
* space-group type: Immm (71)
* formation energy: -0.59 eV/atom